[1]
Entry from Alexandria via LeMat-Bulk: a relaxed Co2MoRu crystal (PBE-GGA).

Lattice parameters (Å, degrees): 4.5390 4.5390 4.5653 80.04 80.04 34.18
Last column: nearest neighbours and their distance in Å.
Sites, in units of the cell vectors:
Co  0.0033  0.0033  0.9937  3 Ru 2.60-2.64, 6 Co 2.60-2.69, 3 Mo 2.62-2.66
Co  0.4967  0.4967  0.5063  3 Ru 2.60-2.64, 6 Co 2.60-2.69, 3 Mo 2.62-2.66
Mo  0.2500  0.2500  0.2500  6 Co 2.62-2.66, 4 Ru 2.64, 2 Mo 2.67
Ru  0.7500  0.7500  0.7500  6 Co 2.60-2.64, 4 Mo 2.64, 2 Ru 2.67

Summary:
Symmetry: C2/m (12)
V: 13.0 Å³ per atom
E above lowest polymorph: 0.164 eV per atom

=====

[2]
Entry from Alexandria via LeMat-Bulk: a relaxed Ni2Sn2Bi crystal (PBE-GGA).

Lattice parameters (Å, degrees): 4.5026 4.5026 6.1036 68.36 68.36 90.00
Last column: nearest neighbours and their distance in Å.
Sites, in units of the cell vectors:
Ni  0.7500  0.2500  0.5000  4 Sn 2.54
Ni  0.2500  0.7500  0.5000  4 Sn 2.54
Bi  0.0000  0.0000  0.0000  8 Ni 3.44, 10 Sn 3.49-3.78
Sn  0.3628  0.3628  0.2744  4 Ni 2.54
Sn  0.6372  0.6372  0.7256  4 Ni 2.54

Summary:
Symmetry: I4/mmm (139)
V: 21.1 Å³ per atom
E above lowest polymorph: 0.068 eV per atom

=====

[3]
Entry from Alexandria via LeMat-Bulk: a relaxed AcGeO4 crystal (PBE-GGA).

Lattice parameters (Å, degrees): 5.2218 5.2218 6.6540 90.00 90.00 90.00
Last column: nearest neighbours and their distance in Å.
Sites, in units of the cell vectors:
Ac  0.0000  0.0000  0.5000  4 O 2.63
Ac  0.5000  0.5000  0.0000  4 O 2.63
Ge  0.0000  0.0000  0.0000  4 O 1.76
Ge  0.5000  0.5000  0.5000  4 O 1.76
O  0.2651  0.0000  0.1644  1 Ge 1.76
O  0.7349  0.0000  0.1644  1 Ge 1.76
O  0.0000  0.7349  0.8356  1 Ge 1.76
O  0.0000  0.2651  0.8356  1 Ge 1.76
O  0.5000  0.2349  0.6644  1 Ge 1.76
O  0.7651  0.5000  0.3356  1 Ge 1.76
O  0.2349  0.5000  0.3356  1 Ge 1.76
O  0.5000  0.7651  0.6644  1 Ge 1.76

Summary:
Formation energy (no corrections): -1977 meV per atom
Symmetry: P4_2/nmc (137)
V: 15.1 Å³ per atom
E above lowest polymorph: 0.241 eV per atom